Entry 1:
# K6SnPt | Alexandria | PBE | optimized geometry
# ΔH_f (0 K): -0.127 eV/atom
data_K6SnPt
_space_group_name_H-M_alt 'P 1'
_space_group_IT_number 1
_cell_length_a 4.539
_cell_length_b 13.466
_cell_length_c 14.376
_cell_angle_alpha 90.00
_cell_angle_beta 90.00
_cell_angle_gamma 90.00
loop_
_space_group_symop_operation_xyz
'x,y,z'
loop_
_atom_site_label
_atom_site_type_symbol
_atom_site_fract_x
_atom_site_fract_y
_atom_site_fract_z
K1 K 0.000 0.000 0.000
K2 K 0.000 0.145 0.699
K3 K 0.000 0.355 0.199
K4 K 0.000 0.500 0.500
K5 K 0.000 0.645 0.199
K6 K 0.000 0.855 0.699
K7 K 0.500 0.000 0.274
K8 K 0.500 0.218 0.463
K9 K 0.500 0.282 0.963
K10 K 0.500 0.500 0.774
K11 K 0.500 0.718 0.963
K12 K 0.500 0.782 0.463
Sn1 Sn 0.000 0.000 0.479
Sn2 Sn 0.000 0.500 0.979
Pt1 Pt 0.500 0.000 0.568
Pt2 Pt 0.500 0.500 0.068



Entry 2:
# Cd3TeBr | Alexandria | PBE | optimized geometry
# energy relative to the elements, uncorrected: 319 meV/atom
# polymorph energy (0 for the lowest one): 0.295 eV per atom
data_Cd3TeBr
_space_group_name_H-M_alt 'P 1'
_space_group_IT_number 1
_cell_length_a 5.563
_cell_length_b 5.563
_cell_length_c 5.563
_cell_angle_alpha 90.00
_cell_angle_beta 90.00
_cell_angle_gamma 90.00
loop_
_space_group_symop_operation_xyz
'x,y,z'
loop_
_atom_site_label
_atom_site_type_symbol
_atom_site_fract_x
_atom_site_fract_y
_atom_site_fract_z
Cd1 Cd 0.000 0.000 0.500
Cd2 Cd 0.000 0.500 0.000
Cd3 Cd 0.500 0.000 0.000
Te1 Te 0.500 0.500 0.500
Br1 Br 0.000 0.000 0.000



Entry 3:
# K2SrReS4 | Alexandria | PBE | optimized geometry
# energy relative to the elements, uncorrected: -870 meV/atom
data_K2SrReS4
_space_group_name_H-M_alt 'P 1'
_space_group_IT_number 1
_cell_length_a 7.411
_cell_length_b 7.411
_cell_length_c 8.984
_cell_angle_alpha 90.00
_cell_angle_beta 90.00
_cell_angle_gamma 90.00
loop_
_space_group_symop_operation_xyz
'x,y,z'
loop_
_atom_site_label
_atom_site_type_symbol
_atom_site_fract_x
_atom_site_fract_y
_atom_site_fract_z
K1 K 0.000 0.000 0.000
K2 K 0.000 0.500 0.250
K3 K 0.500 0.000 0.750
K4 K 0.500 0.500 0.500
Sr1 Sr 0.000 0.000 0.500
Sr2 Sr 0.500 0.500 0.000
Re1 Re 0.000 0.500 0.750
Re2 Re 0.500 0.000 0.250
S1 S 0.188 0.291 0.649
S2 S 0.209 0.688 0.851
S3 S 0.291 0.812 0.351
S4 S 0.312 0.209 0.149
S5 S 0.688 0.791 0.149
S6 S 0.709 0.188 0.351
S7 S 0.791 0.312 0.851
S8 S 0.812 0.709 0.649



Entry 4:
# BiRhSeN2 | Alexandria | PBE | optimized geometry
# energy relative to the elements, uncorrected: 1910 meV/atom
# polymorph energy (0 for the lowest one): 0.904 eV per atom
data_BiRhSeN2
_space_group_name_H-M_alt 'P 1'
_space_group_IT_number 1
_cell_length_a 4.225
_cell_length_b 4.225
_cell_length_c 5.798
_cell_angle_alpha 90.00
_cell_angle_beta 90.00
_cell_angle_gamma 90.00
loop_
_space_group_symop_operation_xyz
'x,y,z'
loop_
_atom_site_label
_atom_site_type_symbol
_atom_site_fract_x
_atom_site_fract_y
_atom_site_fract_z
Bi1 Bi 0.000 0.000 0.000
Rh1 Rh 0.500 0.500 0.500
Se1 Se 0.000 0.000 0.500
N1 N 0.000 0.500 0.000
N2 N 0.500 0.000 0.000



no.,raw total energy (eV per atom),V (A^3/atom),size of the total moment (Bohr magnetons per cell)
1,-2.205,54.9,0.00
2,-1.193,34.4,0.00
3,-4.975,30.8,2.07
4,-4.363,20.7,3.56